1.
First-principles (PBE-GGA) data for a relaxed structure of SrAlZn2Cd, as listed in Alexandria.

Calculated values
Formation energy from the elements (kcal/mol of atoms): -4.90
Magnetic moment (μB per cell): 0.00
Uncorrected energy (eV/atom): -1.990

abc: 4.363 4.400 11.740
angles: 90.00 90.00 90.00
Space group Imm2 (No. 44)
Unique sites:
Sr 0.000 0.000 0.000
Al 0.000 0.500 0.764
Zn 0.000 0.000 0.385
Zn 0.000 0.500 0.266
Cd 0.000 0.000 0.618

=====

2.
First-principles (PBE-GGA) data for a relaxed structure of Sr2AlZn3Cd4, as listed in Alexandria.

Calculated values
Formation energy from the elements (kcal/mol of atoms): -5.00
Magnetic moment (μB per cell): 0.00
Uncorrected energy (eV/atom): -1.675

abc: 4.489 4.489 11.979
angles: 90.00 90.00 90.00
Space group P-4m2 (No. 115)
Unique sites:
Sr 0.000 0.500 0.249
Al 0.500 0.500 0.000
Zn 0.000 0.000 0.000
Zn 0.000 0.500 0.641
Cd 0.000 0.000 0.500
Cd 0.000 0.500 0.866
Cd 0.500 0.500 0.500

=====

3.
First-principles (PBE-GGA) data for a relaxed structure of SrAlZnCd2, as listed in Alexandria.

Calculated values
Formation energy from the elements (kcal/mol of atoms): -5.04
Magnetic moment (μB per cell): 0.00
Uncorrected energy (eV/atom): -1.924

abc: 4.458 4.497 12.031
angles: 90.00 90.00 90.00
Space group Imm2 (No. 44)
Unique sites:
Sr 0.000 0.000 0.000
Al 0.000 0.500 0.763
Zn 0.000 0.000 0.389
Cd 0.000 0.000 0.612
Cd 0.000 0.500 0.263

=====

4.
First-principles (PBE-GGA) data for a relaxed structure of TaAl2Cd, as listed in Alexandria.

Calculated values
Formation energy from the elements (kcal/mol of atoms): 0.16
Magnetic moment (μB per cell): 0.00
Uncorrected energy (eV/atom): -5.056

abc: 2.9970 2.9970 28.3306
angles: 90.00 90.00 120.00
Space group R-3m (No. 166, hexagonal axes)
Unique sites:
Ta 0.0000 0.0000 0.0000
Al 0.0000 0.0000 0.2537
Cd 0.0000 0.0000 0.5000

=====

5.
First-principles (PBE-GGA) data for a relaxed structure of TaAlCd4, as listed in Alexandria.

Calculated values
Formation energy from the elements (kcal/mol of atoms): 13.57
Magnetic moment (μB per cell): 10.06
Uncorrected energy (eV/atom): -2.621

abc: 7.969 7.969 7.969
angles: 90.00 90.00 90.00
Space group F-43m (No. 216)
Unique sites:
Ta 0.000 0.000 0.000
Al 0.250 0.250 0.750
Cd 0.125 0.125 0.375

=====

6.
First-principles (PBE-GGA) data for a relaxed structure of TaAl2Cd, as listed in Alexandria.

Calculated values
Formation energy from the elements (kcal/mol of atoms): 2.01
Magnetic moment (μB per cell): 0.00
Uncorrected energy (eV/atom): -4.976

abc: 2.853 2.853 8.911
angles: 90.00 90.00 90.00
Space group P4mm (No. 99)
Unique sites:
Ta 0.000 0.000 0.000
Al 0.000 0.000 0.467
Al 0.500 0.500 0.227
Cd 0.500 0.500 0.734

=====

7.
First-principles (PBE-GGA) data for a relaxed structure of Ta2Al2Cd, as listed in Alexandria.

Calculated values
Formation energy from the elements (kcal/mol of atoms): 3.48
Magnetic moment (μB per cell): 0.00
Uncorrected energy (eV/atom): -6.270

abc: 6.915 6.915 3.669
angles: 90.00 90.00 90.00
Space group P4/mbm (No. 127)
Unique sites:
Ta 0.173 0.327 0.000
Al 0.126 0.626 0.500
Cd 0.000 0.000 0.500

=====

8.
First-principles (PBE-GGA) data for a relaxed structure of TaAl2Cd, as listed in Alexandria.

Calculated values
Formation energy from the elements (kcal/mol of atoms): 0.81
Magnetic moment (μB per cell): 0.00
Uncorrected energy (eV/atom): -5.028

abc: 4.192 4.192 3.929
angles: 90.00 90.00 90.00
Space group P4/mmm (No. 123)
Unique sites:
Ta 0.000 0.000 0.000
Al 0.000 0.500 0.500
Cd 0.500 0.500 0.000

=====

9.
First-principles (PBE-GGA) data for a relaxed structure of Ta4AlCd, as listed in Alexandria.

Calculated values
Formation energy from the elements (kcal/mol of atoms): 10.48
Magnetic moment (μB per cell): 0.00
Uncorrected energy (eV/atom): -8.224

abc: 7.789 7.789 7.789
angles: 90.00 90.00 90.00
Space group F-43m (No. 216)
Unique sites:
Ta 0.124 0.124 0.124
Al 0.250 0.250 0.750
Cd 0.000 0.000 0.500

=====

10.
First-principles (PBE-GGA) data for a relaxed structure of TaAl2Cd, as listed in Alexandria.

Calculated values
Formation energy from the elements (kcal/mol of atoms): 1.93
Magnetic moment (μB per cell): 0.00
Uncorrected energy (eV/atom): -4.979

abc: 4.883 4.883 2.983
angles: 90.00 90.00 90.00
Space group P4/mmm (No. 123)
Unique sites:
Ta 0.000 0.000 0.000
Al 0.000 0.500 0.500
Cd 0.500 0.500 0.000

=====

11.
First-principles (PBE-GGA) data for a relaxed structure of TaAl3Cd, as listed in Alexandria.

Calculated values
Offset from the most stable computed form (meV/atom): 525
Formation energy from the elements (kcal/mol of atoms): 31.89
Magnetic moment (μB per cell): 0.24
Uncorrected energy (eV/atom): -3.416

abc: 4.833 4.833 4.833
angles: 90.00 90.00 90.00
Space group Pm-3m (No. 221)
Unique sites:
Ta 0.000 0.000 0.000
Al 0.000 0.500 0.500
Cd 0.500 0.500 0.500

=====

12.
First-principles (PBE-GGA) data for a relaxed structure of TaAl2Cd, as listed in Alexandria.

Calculated values
Formation energy from the elements (kcal/mol of atoms): 0.22
Magnetic moment (μB per cell): 0.00
Uncorrected energy (eV/atom): -5.054

abc: 2.881 2.881 8.842
angles: 90.00 90.00 90.00
Space group P4/mmm (No. 123)
Unique sites:
Ta 0.000 0.000 0.000
Al 0.500 0.500 0.228
Cd 0.000 0.000 0.500

=====

13.
First-principles (PBE-GGA) data for a relaxed structure of TaAl4Cd, as listed in Alexandria.

Calculated values
Formation energy from the elements (kcal/mol of atoms): 2.21
Magnetic moment (μB per cell): 0.00
Uncorrected energy (eV/atom): -4.527

abc: 7.435 7.435 7.435
angles: 90.00 90.00 90.00
Space group F-43m (No. 216)
Unique sites:
Ta 0.000 0.000 0.000
Al 0.125 0.125 0.625
Cd 0.250 0.250 0.250

=====

14.
First-principles (PBE-GGA) data for a relaxed structure of TaAl2Cd, as listed in Alexandria.

Calculated values
Formation energy from the elements (kcal/mol of atoms): 0.59
Magnetic moment (μB per cell): 0.00
Uncorrected energy (eV/atom): -5.037

abc: 2.919 4.313 5.750
angles: 90.00 90.00 90.00
Space group Pmmm (No. 47)
Unique sites:
Ta 0.000 0.000 0.000
Al 0.500 0.500 0.222
Cd 0.500 0.000 0.500

=====

15.
First-principles (PBE-GGA) data for a relaxed structure of TaAl3Cd, as listed in Alexandria.

Calculated values
Offset from the most stable computed form (meV/atom): 0
Formation energy from the elements (kcal/mol of atoms): 19.78
Magnetic moment (μB per cell): 0.00
Uncorrected energy (eV/atom): -3.942

abc: 5.067 5.067 5.067
angles: 90.00 90.00 90.00
Space group Pm-3m (No. 221)
Unique sites:
Ta 0.000 0.000 0.000
Al 0.000 0.000 0.500
Cd 0.500 0.500 0.500

=====

16.
First-principles (PBE-GGA) data for a relaxed structure of TaAl2Cd, as listed in Alexandria.

Calculated values
Formation energy from the elements (kcal/mol of atoms): 11.66
Magnetic moment (μB per cell): 0.00
Uncorrected energy (eV/atom): -4.558

abc: 7.295 7.295 5.767
angles: 90.00 90.00 90.00
Space group I-42d (No. 122)
Unique sites:
Ta 0.000 0.000 0.000
Al 0.241 0.750 0.625
Cd 0.000 0.000 0.500

=====

17.
First-principles (PBE-GGA) data for a relaxed structure of TaAl2Cd, as listed in Alexandria.

Calculated values
Formation energy from the elements (kcal/mol of atoms): 1.51
Magnetic moment (μB per cell): 0.00
Uncorrected energy (eV/atom): -4.998

abc: 2.9915 2.9915 28.2243
angles: 90.00 90.00 120.00
Space group R3m (No. 160, hexagonal axes)
Unique sites:
Ta 0.0000 0.0000 0.0000
Al 0.0000 0.0000 0.4927
Al 0.0000 0.0000 0.7457
Cd 0.0000 0.0000 0.2442

=====

18.
First-principles (PBE-GGA) data for a relaxed structure of TaAl2Cd, as listed in Alexandria.

Calculated values
Formation energy from the elements (kcal/mol of atoms): -0.20
Magnetic moment (μB per cell): 0.00
Uncorrected energy (eV/atom): -5.072

abc: 3.896 3.896 9.171
angles: 90.00 90.00 90.00
Space group I-4m2 (No. 119)
Unique sites:
Ta 0.000 0.000 0.000
Al 0.000 0.000 0.500
Al 0.000 0.500 0.750
Cd 0.000 0.500 0.250

=====

19.
First-principles (PBE-GGA) data for a relaxed structure of TaAl2Cd, as listed in Alexandria.

Calculated values
Formation energy from the elements (kcal/mol of atoms): 0.33
Magnetic moment (μB per cell): 0.00
Uncorrected energy (eV/atom): -5.049

abc: 5.885 8.310 2.896
angles: 90.00 90.00 90.00
Space group Cmmm (No. 65)
Unique sites:
Ta 0.000 0.000 0.000
Al 0.250 0.250 0.500
Cd 0.000 0.500 0.000

=====

20.
First-principles (PBE-GGA) data for a relaxed structure of TaAl2Cd, as listed in Alexandria.

Calculated values
Formation energy from the elements (kcal/mol of atoms): 1.54
Magnetic moment (μB per cell): 0.00
Uncorrected energy (eV/atom): -4.996

abc: 3.035 4.770 9.828
angles: 90.00 90.00 90.00
Space group Imm2 (No. 44)
Unique sites:
Ta 0.000 0.000 0.000
Al 0.000 0.000 0.515
Al 0.000 0.500 0.261
Cd 0.000 0.500 0.763

=====

21.
First-principles (PBE-GGA) data for a relaxed structure of TaAl2Cd, as listed in Alexandria.

Calculated values
Formation energy from the elements (kcal/mol of atoms): 10.56
Magnetic moment (μB per cell): 4.52
Uncorrected energy (eV/atom): -4.606

abc: 6.623 6.623 6.623
angles: 90.00 90.00 90.00
Space group F-43m (No. 216)
Unique sites:
Ta 0.000 0.000 0.000
Al 0.000 0.000 0.500
Al 0.250 0.250 0.250
Cd 0.250 0.250 0.750

=====

22.
First-principles (PBE-GGA) data for a relaxed structure of TaAlCd3, as listed in Alexandria.

Calculated values
Offset from the most stable computed form (meV/atom): 11
Formation energy from the elements (kcal/mol of atoms): 28.92
Magnetic moment (μB per cell): 2.55
Uncorrected energy (eV/atom): -2.414

abc: 5.487 5.487 5.487
angles: 90.00 90.00 90.00
Space group Pm-3m (No. 221)
Unique sites:
Ta 0.000 0.000 0.000
Al 0.500 0.500 0.500
Cd 0.000 0.000 0.500

=====

23.
First-principles (PBE-GGA) data for a relaxed structure of TaAlCd3, as listed in Alexandria.

Calculated values
Offset from the most stable computed form (meV/atom): 0
Formation energy from the elements (kcal/mol of atoms): 28.67
Magnetic moment (μB per cell): 1.24
Uncorrected energy (eV/atom): -2.425

abc: 4.969 4.969 4.969
angles: 90.00 90.00 90.00
Space group Pm-3m (No. 221)
Unique sites:
Ta 0.000 0.000 0.000
Al 0.500 0.500 0.500
Cd 0.000 0.500 0.500

=====

24.
First-principles (PBE-GGA) data for a relaxed structure of TaAl2Cd, as listed in Alexandria.

Calculated values
Formation energy from the elements (kcal/mol of atoms): 4.33
Magnetic moment (μB per cell): 0.00
Uncorrected energy (eV/atom): -4.875

abc: 3.342 3.342 6.380
angles: 90.00 90.00 90.00
Space group P4mm (No. 99)
Unique sites:
Ta 0.000 0.000 0.000
Al 0.000 0.000 0.454
Al 0.500 0.500 0.225
Cd 0.500 0.500 0.703

=====

25.
First-principles (PBE-GGA) data for a relaxed structure of TaAl2Cd, as listed in Alexandria.

Calculated values
Formation energy from the elements (kcal/mol of atoms): 1.35
Magnetic moment (μB per cell): 0.00
Uncorrected energy (eV/atom): -5.005

abc: 4.020 4.020 8.753
angles: 90.00 90.00 90.00
Space group I4/mmm (No. 139)
Unique sites:
Ta 0.000 0.000 0.000
Al 0.000 0.500 0.250
Cd 0.000 0.000 0.500

=====

26.
First-principles (PBE-GGA) data for a relaxed structure of TaAl2Cd, as listed in Alexandria.

Calculated values
Formation energy from the elements (kcal/mol of atoms): 2.07
Magnetic moment (μB per cell): 0.00
Uncorrected energy (eV/atom): -4.974

abc: 3.067 4.060 5.729
angles: 90.00 90.00 90.00
Space group Pmm2 (No. 25)
Unique sites:
Ta 0.000 0.000 0.000
Al 0.000 0.000 0.480
Al 0.500 0.500 0.216
Cd 0.500 0.500 0.719

=====

27.
First-principles (PBE-GGA) data for a relaxed structure of TaAl2Cd, as listed in Alexandria.

Calculated values
Formation energy from the elements (kcal/mol of atoms): 2.98
Magnetic moment (μB per cell): 0.00
Uncorrected energy (eV/atom): -4.934

abc: 3.067 4.941 9.491
angles: 90.00 90.00 90.00
Space group Immm (No. 71)
Unique sites:
Ta 0.000 0.000 0.000
Al 0.000 0.500 0.256
Cd 0.000 0.000 0.500

=====

28.
First-principles (PBE-GGA) data for a relaxed structure of TaAl2ZnCd, as listed in Alexandria.

Calculated values
Formation energy from the elements (kcal/mol of atoms): 21.48
Magnetic moment (μB per cell): 0.00
Uncorrected energy (eV/atom): -3.374

abc: 5.069 5.069 5.027
angles: 90.00 90.00 90.00
Space group P4/mmm (No. 123)
Unique sites:
Ta 0.000 0.000 0.000
Al 0.000 0.500 0.000
Zn 0.000 0.000 0.500
Cd 0.500 0.500 0.500

=====

29.
First-principles (PBE-GGA) data for a relaxed structure of Tb3Al2Cd4, as listed in Alexandria.

Calculated values
Formation energy from the elements (kcal/mol of atoms): -8.32
Magnetic moment (μB per cell): 0.00
Uncorrected energy (eV/atom): -3.143

abc: 10.961 4.827 9.065
angles: 90.00 117.24 90.00
Space group C2/m (No. 12)
Unique sites:
Tb 0.000 0.000 0.000
Tb 0.165 0.500 0.669
Al 0.109 0.500 0.276
Cd 0.076 0.000 0.405
Cd 0.202 0.500 0.040